Entry 1:
A plane-wave DFT calculation with GGA-PBEsol was carried out for LaY2Zn after structural relaxation.

Energy of formation ... 1 meV/atom
Symmetry ... Pmmm, No. 47
Electronic total energy ... -5.14 eV per atom
ΔE to the lowest computed polymorph ... 166.7 meV per atom

Cell lengths 3.6909, 5.3403, 5.4983 Å; angles 90.00, 90.00, 90.00 degrees
Sites, in units of the cell vectors:
1 La 0.0000 0.0000 0.0000
2 Y 0.0000 0.5000 0.5000
3 Y 0.5000 0.5000 0.0000
4 Zn 0.5000 0.0000 0.5000

Entry 2:
A plane-wave DFT calculation with GGA-PBEsol was carried out for LaYZn2 after structural relaxation.

Energy of formation ... -240 meV/atom
Symmetry ... Imm2, No. 44
Electronic total energy ... -4.07 eV per atom
ΔE to the lowest computed polymorph ... 74.1 meV per atom

Cell lengths 5.9997, 5.9997, 5.9997 Å; angles 145.57, 131.24, 61.05 degrees
Sites, in units of the cell vectors:
1 La 0.0000 0.0000 0.0000
2 Y 0.7160 0.2160 0.5000
3 Zn 0.2679 0.7679 0.5000
4 Zn 0.4449 0.4449 0.0000

Entry 3:
A plane-wave DFT calculation with GGA-PBEsol was carried out for La2YZn2 after structural relaxation.

Energy of formation ... -169 meV/atom
Symmetry ... P4/mbm, No. 127
Electronic total energy ... -4.30 eV per atom

Cell lengths 8.4807, 8.4807, 3.6890 Å; angles 90.00, 90.00, 90.00 degrees
Sites, in units of the cell vectors:
1 La 0.1695 0.3305 0.0000
2 La 0.3305 0.8305 0.0000
3 La 0.6695 0.1695 0.0000
4 La 0.8305 0.6695 0.0000
5 Y 0.0000 0.0000 0.5000
6 Y 0.5000 0.5000 0.5000
7 Zn 0.1234 0.6234 0.5000
8 Zn 0.3766 0.1234 0.5000
9 Zn 0.6234 0.8766 0.5000
10 Zn 0.8766 0.3766 0.5000

Entry 4:
A plane-wave DFT calculation with GGA-PBEsol was carried out for LaY2Zn after structural relaxation.

Energy of formation ... -142 meV/atom
Symmetry ... Immm, No. 71
Electronic total energy ... -5.29 eV per atom
ΔE to the lowest computed polymorph ... 24.0 meV per atom

Cell lengths 6.4762, 6.4762, 6.4762 Å; angles 147.25, 130.40, 60.71 degrees
Sites, in units of the cell vectors:
1 La 0.0000 0.0000 0.0000
2 Y 0.2881 0.7881 0.5000
3 Y 0.7119 0.2119 0.5000
4 Zn 0.5000 0.5000 0.0000

Entry 5:
A plane-wave DFT calculation with GGA-PBEsol was carried out for LaYZn2 after structural relaxation.

Energy of formation ... -304 meV/atom
Symmetry ... Fm-3m, No. 225
Electronic total energy ... -4.14 eV per atom
ΔE to the lowest computed polymorph ... 10.9 meV per atom

Cell lengths 5.1015, 5.1015, 5.1015 Å; angles 60.00, 60.00, 60.00 degrees
Sites, in units of the cell vectors:
1 La 0.0000 0.0000 0.0000
2 Y 0.5000 0.5000 0.5000
3 Zn 0.2500 0.2500 0.2500
4 Zn 0.7500 0.7500 0.7500

Entry 6:
A plane-wave DFT calculation with GGA-PBEsol was carried out for LaYZn2 after structural relaxation.

Energy of formation ... -315 meV/atom
Symmetry ... P4/mmm, No. 123
Electronic total energy ... -4.15 eV per atom
ΔE to the lowest computed polymorph ... 0.0 meV per atom

Cell lengths 3.5719, 3.5719, 7.3032 Å; angles 90.00, 90.00, 90.00 degrees
Sites, in units of the cell vectors:
1 La 0.0000 0.0000 0.0000
2 Y 0.0000 0.0000 0.5000
3 Zn 0.5000 0.5000 0.2750
4 Zn 0.5000 0.5000 0.7250

Entry 7:
A plane-wave DFT calculation with GGA-PBEsol was carried out for LaYZn4 after structural relaxation.

Energy of formation ... -338 meV/atom
Symmetry ... F-43m, No. 216
Electronic total energy ... -3.42 eV per atom

Cell lengths 5.4534, 5.4534, 5.4534 Å; angles 60.00, 60.00, 60.00 degrees
Sites, in units of the cell vectors:
1 La 0.0000 0.0000 0.0000
2 Y 0.2500 0.2500 0.2500
3 Zn 0.1266 0.6245 0.6245
4 Zn 0.6245 0.1266 0.6245
5 Zn 0.6245 0.6245 0.1266
6 Zn 0.6245 0.6245 0.6245

Entry 8:
A plane-wave DFT calculation with GGA-PBEsol was carried out for LaY2Zn after structural relaxation.

Energy of formation ... -120 meV/atom
Symmetry ... Imm2, No. 44
Electronic total energy ... -5.26 eV per atom
ΔE to the lowest computed polymorph ... 46.4 meV per atom

Cell lengths 6.5663, 6.5663, 6.5663 Å; angles 147.68, 133.18, 58.04 degrees
Sites, in units of the cell vectors:
1 La 0.0000 0.0000 0.0000
2 Y 0.4214 0.4214 0.0000
3 Y 0.7098 0.2098 0.5000
4 Zn 0.2231 0.7231 0.5000

Entry 9:
A plane-wave DFT calculation with GGA-PBEsol was carried out for LaY2Zn after structural relaxation.

Energy of formation ... -166 meV/atom
Symmetry ... P4/mmm, No. 123
Electronic total energy ... -5.31 eV per atom
ΔE to the lowest computed polymorph ... 0.0 meV per atom

Cell lengths 3.5444, 3.5444, 8.6505 Å; angles 90.00, 90.00, 90.00 degrees
Sites, in units of the cell vectors:
1 La 0.0000 0.0000 0.0000
2 Y 0.5000 0.5000 0.3008
3 Y 0.5000 0.5000 0.6992
4 Zn 0.0000 0.0000 0.5000

Entry 10:
A plane-wave DFT calculation with GGA-PBEsol was carried out for LaYZn2 after structural relaxation.

Energy of formation ... -301 meV/atom
Symmetry ... Pmm2, No. 25
Electronic total energy ... -4.13 eV per atom
ΔE to the lowest computed polymorph ... 13.3 meV per atom

Cell lengths 3.5608, 5.1173, 5.1182 Å; angles 90.00, 90.00, 90.00 degrees
Sites, in units of the cell vectors:
1 La 0.0000 0.0000 0.0000
2 Y 0.0000 0.5000 0.4974
3 Zn 0.5000 0.0000 0.5007
4 Zn 0.5000 0.5000 0.9956

Entry 11:
A plane-wave DFT calculation with GGA-PBEsol was carried out for LaYZn3 after structural relaxation.

Energy of formation ... 439 meV/atom
Symmetry ... Pm-3m, No. 221
Electronic total energy ... -2.94 eV per atom

Cell lengths 5.1381, 5.1381, 5.1381 Å; angles 90.00, 90.00, 90.00 degrees
Sites, in units of the cell vectors:
1 La 0.0000 0.0000 0.0000
2 Y 0.5000 0.5000 0.5000
3 Zn 0.0000 0.5000 0.5000
4 Zn 0.5000 0.0000 0.5000
5 Zn 0.5000 0.5000 0.0000

Entry 12:
A plane-wave DFT calculation with GGA-PBEsol was carried out for LaYZr after structural relaxation.

Energy of formation ... 190 meV/atom
Symmetry ... P-6m2, No. 187
Electronic total energy ... -6.90 eV per atom

Cell lengths 5.4162, 5.4162, 3.3428 Å; angles 90.00, 90.00, 120.00 degrees
Sites, in units of the cell vectors:
1 La 0.0000 0.0000 0.0000
2 Y 0.3333 0.6667 0.5000
3 Zr 0.6667 0.3333 0.5000

Entry 13:
A plane-wave DFT calculation with GGA-PBEsol was carried out for LaYZr4 after structural relaxation.

Energy of formation ... 263 meV/atom
Symmetry ... F-43m, No. 216
Electronic total energy ... -7.82 eV per atom

Cell lengths 6.0092, 6.0092, 6.0092 Å; angles 60.00, 60.00, 60.00 degrees
Sites, in units of the cell vectors:
1 La 0.0000 0.0000 0.0000
2 Y 0.2500 0.2500 0.2500
3 Zr 0.1275 0.6242 0.6242
4 Zr 0.6242 0.1275 0.6242
5 Zr 0.6242 0.6242 0.1275
6 Zr 0.6242 0.6242 0.6242

Entry 14:
A plane-wave DFT calculation with GGA-PBEsol was carried out for La5Zn after structural relaxation.

Energy of formation ... -92 meV/atom
Symmetry ... P4/mmm, No. 123
Electronic total energy ... -4.81 eV per atom
ΔE to the lowest computed polymorph ... 0.0 meV per atom

Cell lengths 3.6825, 3.6825, 13.7186 Å; angles 90.00, 90.00, 90.00 degrees
Sites, in units of the cell vectors:
1 La 0.0000 0.0000 0.0000
2 La 0.0000 0.0000 0.3681
3 La 0.0000 0.0000 0.6319
4 La 0.5000 0.5000 0.1838
5 La 0.5000 0.5000 0.8162
6 Zn 0.5000 0.5000 0.5000

Entry 15:
A plane-wave DFT calculation with GGA-PBEsol was carried out for La2Zn after structural relaxation.

Energy of formation ... -168 meV/atom
Symmetry ... Cmcm, No. 63
Electronic total energy ... -4.26 eV per atom

Cell lengths 8.6475, 8.6475, 5.3987 Å; angles 90.00, 90.00, 155.13 degrees
Sites, in units of the cell vectors:
1 La 0.0760 0.9240 0.7500
2 La 0.2231 0.7769 0.2500
3 La 0.7769 0.2231 0.7500
4 La 0.9240 0.0760 0.2500
5 Zn 0.4267 0.5733 0.7500
6 Zn 0.5733 0.4267 0.2500

Entry 16:
A plane-wave DFT calculation with GGA-PBEsol was carried out for La3Zn2 after structural relaxation.

Energy of formation ... -117 meV/atom
Symmetry ... P-3m1, No. 164
Electronic total energy ... -3.96 eV per atom

Cell lengths 5.0177, 5.0177, 6.3204 Å; angles 90.00, 90.00, 120.00 degrees
Sites, in units of the cell vectors:
1 La 0.0000 0.0000 0.0000
2 La 0.3333 0.6667 0.3831
3 La 0.6667 0.3333 0.6169
4 Zn 0.3333 0.6667 0.8722
5 Zn 0.6667 0.3333 0.1278

Entry 17:
A plane-wave DFT calculation with GGA-PBEsol was carried out for La3Zn after structural relaxation.

Energy of formation ... -67 meV/atom
Symmetry ... Pm-3m, No. 221
Electronic total energy ... -4.47 eV per atom

Cell lengths 4.8471, 4.8471, 4.8471 Å; angles 90.00, 90.00, 90.00 degrees
Sites, in units of the cell vectors:
1 La 0.0000 0.0000 0.5000
2 La 0.0000 0.5000 0.0000
3 La 0.5000 0.0000 0.0000
4 Zn 0.5000 0.5000 0.5000

Entry 18:
A plane-wave DFT calculation with GGA-PBEsol was carried out for LaZn2 after structural relaxation.

Energy of formation ... -174 meV/atom
Symmetry ... I4/mmm, No. 139
Electronic total energy ... -3.01 eV per atom

Cell lengths 6.1668, 6.1668, 6.1668 Å; angles 149.12, 149.12, 44.23 degrees
Sites, in units of the cell vectors:
1 La 0.0000 0.0000 0.0000
2 Zn 0.3046 0.3046 0.0000
3 Zn 0.6954 0.6954 0.0000

Entry 19:
A plane-wave DFT calculation with GGA-PBEsol was carried out for La2Zn after structural relaxation.

Energy of formation ... -100 meV/atom
Symmetry ... Cmc2_1, No. 36
Electronic total energy ... -4.19 eV per atom

Cell lengths 6.8359, 6.8359, 6.9865 Å; angles 90.00, 90.00, 147.09 degrees
Sites, in units of the cell vectors:
1 La 0.0235 0.9765 0.5000
2 La 0.2994 0.7006 0.2835
3 La 0.7006 0.2994 0.7835
4 La 0.9765 0.0235 0.0000
5 Zn 0.3786 0.6214 0.7195
6 Zn 0.6214 0.3786 0.2195

Entry 20:
A plane-wave DFT calculation with GGA-PBEsol was carried out for LaZn after structural relaxation.

Energy of formation ... -283 meV/atom
Symmetry ... Pm-3m, No. 221
Electronic total energy ... -3.75 eV per atom

Cell lengths 3.6868, 3.6868, 3.6868 Å; angles 90.00, 90.00, 90.00 degrees
Sites, in units of the cell vectors:
1 La 0.0000 0.0000 0.0000
2 Zn 0.5000 0.5000 0.5000